DFT (PBE) results for a relaxed MgZrFePb crystal.

Summary:
Size of the total moment: 1.6 μB/f.u.
Energy above the most stable polymorph in this dataset: 14.4 meV per atom
Crystal system: cubic

Lattice parameters (Å, degrees): 6.8163 6.8163 6.8163 90.00 90.00 90.00
Space group F-43m (No. 216)
One atom of each set of equivalent atoms:
Mg  0.0000  0.0000  0.0000
Zr  0.0000  0.0000  0.5000
Fe  0.2500  0.2500  0.7500
Pb  0.2500  0.2500  0.2500

---

DFT (PBE) results for a relaxed CsLaNp crystal.

Summary:
Size of the total moment: 6.1 μB/f.u.
Energy above the most stable polymorph in this dataset: 65.2 meV per atom
Crystal system: cubic

Lattice parameters (Å, degrees): 7.8303 7.8303 7.8303 90.00 90.00 90.00
Space group F-43m (No. 216)
One atom of each set of equivalent atoms:
Cs  0.0000  0.0000  0.0000
La  0.2500  0.2500  0.2500
Np  0.2500  0.2500  0.7500

---

DFT (PBE) results for a relaxed KLuFeSe3 crystal.

Summary:
Size of the total moment: 4.0 μB/f.u.
Energy above the most stable polymorph in this dataset: 23.6 meV per atom
Crystal system: orthorhombic

Lattice parameters (Å, degrees): 4.0619 14.8882 10.6175 90.00 90.00 90.00
Space group Cmcm (No. 63)
One atom of each set of equivalent atoms:
K  0.0000  0.2479  0.2500
Lu  0.0000  0.5000  0.0000
Fe  0.0000  0.0307  0.7500
Se  0.0000  0.1233  0.5625
Se  0.0000  0.4340  0.7500

---

DFT (PBE) results for a relaxed KGeIr crystal.

Summary:
Size of the total moment: 0.0 μB/f.u.
Energy above the most stable polymorph in this dataset: 2005.3 meV per atom
Crystal system: cubic

Lattice parameters (Å, degrees): 6.7241 6.7241 6.7241 90.00 90.00 90.00
Space group F-43m (No. 216)
One atom of each set of equivalent atoms:
K  0.0000  0.0000  0.0000
Ge  0.2500  0.2500  0.7500
Ir  0.2500  0.2500  0.2500

---

DFT (PBE) results for a relaxed Ba2NaCuH6 crystal.

Summary:
Crystal system: cubic

Lattice parameters (Å, degrees): 8.0450 8.0450 8.0450 90.00 90.00 90.00
Space group Fm-3m (No. 225)
One atom of each set of equivalent atoms:
Ba  0.2500  0.2500  0.2500
Na  0.0000  0.0000  0.0000
Cu  0.0000  0.0000  0.5000
H  0.0000  0.0000  0.2729

---

DFT (PBE) results for a relaxed AcZn crystal.

Summary:
Energy of formation: -22 kJ/mol of formula units
Size of the total moment: 0.0 μB/f.u.
Crystal system: orthorhombic

Lattice parameters (Å, degrees): 5.7305 7.8033 10.5416 90.00 90.00 90.00
Space group Pmmn (No. 59, origin choice 2)
One atom of each set of equivalent atoms:
Ac  0.2500  0.0138  0.1363
Ac  0.2500  0.2500  0.4585
Ac  0.2500  0.2500  0.7969
Zn  0.2500  0.5902  0.6484
Zn  0.2500  0.7500  0.3866
Zn  0.2500  0.7500  0.8790

---

DFT (PBE) results for a relaxed Sc2Si3Mo4C3 crystal.

Summary:
Size of the total moment: 0.0 μB/f.u.
Crystal system: monoclinic

Lattice parameters (Å, degrees): 9.2640 5.3699 13.4450 90.00 103.60 90.00
Space group C2/c (No. 15)
One atom of each set of equivalent atoms:
Sc  0.0444  0.0828  0.3862
Si  0.0000  0.4370  0.7500
Si  0.2358  0.1481  0.7500
Mo  0.1103  0.4092  0.5839
Mo  0.2260  0.4203  0.9162
C  0.0829  0.2474  0.0002
C  0.2500  0.2500  0.5000

---

DFT (PBE) results for a relaxed Sm4CI3Br2 crystal.

Summary:
Size of the total moment: 0.4 μB/f.u.
Energy above the most stable polymorph in this dataset: 0.0 meV per atom
Crystal system: monoclinic

Lattice parameters (Å, degrees): 18.8849 4.0013 8.6948 90.00 102.47 90.00
Space group C2/m (No. 12)
One atom of each set of equivalent atoms:
Sm  0.0006  0.0000  0.3057
Sm  0.1347  0.5000  0.5692
C  0.0000  0.5000  0.5000
I  0.0000  0.5000  0.0000
I  0.1715  0.0000  0.3171
Br  0.1581  0.0000  0.8229

---

DFT (PBE) results for a relaxed LuMoIr crystal.

Summary:
Energy of formation: -2 kJ/mol of formula units
Size of the total moment: 0.0 μB/f.u.
Energy above the most stable polymorph in this dataset: 0.0 meV per atom
Crystal system: cubic

Lattice parameters (Å, degrees): 6.3133 6.3133 6.3133 90.00 90.00 90.00
Space group F-43m (No. 216)
One atom of each set of equivalent atoms:
Lu  0.0000  0.0000  0.0000
Mo  0.0000  0.0000  0.5000
Ir  0.2500  0.2500  0.2500

---

DFT (PBE) results for a relaxed NaZrSiIr crystal.

Summary:
Size of the total moment: 0.0 μB/f.u.
Energy above the most stable polymorph in this dataset: 271.4 meV per atom
Crystal system: cubic

Lattice parameters (Å, degrees): 6.5219 6.5219 6.5219 90.00 90.00 90.00
Space group F-43m (No. 216)
One atom of each set of equivalent atoms:
Na  0.0000  0.0000  0.0000
Zr  0.0000  0.0000  0.5000
Si  0.2500  0.2500  0.2500
Ir  0.2500  0.2500  0.7500

---

DFT (PBE) results for a relaxed GdMgZn crystal.

Summary:
Size of the total moment: 0.0 μB/f.u.
Crystal system: trigonal

Lattice parameters (Å, degrees): 3.5193 3.5193 13.2799 90.00 90.00 120.00
Space group P3m1 (No. 156)
One atom of each set of equivalent atoms:
Gd  0.0000  0.0000  0.0000
Gd  0.3333  0.6667  0.7900
Mg  0.3333  0.6667  0.1983
Mg  0.3333  0.6667  0.4786
Zn  0.0000  0.0000  0.3381
Zn  0.6667  0.3333  0.6214

---

DFT (PBE) results for a relaxed Bi2Mo4CN crystal.

Summary:
Size of the total moment: 0.1 μB/f.u.
Crystal system: trigonal

Lattice parameters (Å, degrees): 3.3548 3.3548 13.2059 90.00 90.00 120.00
Space group P-3m1 (No. 164)
One atom of each set of equivalent atoms:
Bi  0.3333  0.6667  0.2492
Mo  0.3333  0.6667  0.5745
Mo  0.3333  0.6667  0.9288
C  0.0000  0.0000  0.5000
N  0.0000  0.0000  0.0000

---

DFT (PBE) results for a relaxed TbTlNiS3 crystal.

Summary:
Size of the total moment: 0.6 μB/f.u.
Crystal system: orthorhombic

Lattice parameters (Å, degrees): 11.0224 4.0941 11.7225 90.00 90.00 90.00
Space group Pnma (No. 62)
One atom of each set of equivalent atoms:
Tb  0.0103  0.2500  0.1668
Tl  0.1687  0.2500  0.5099
Ni  0.2461  0.7500  0.3037
S  0.0452  0.7500  0.3193
S  0.1115  0.2500  0.9464
S  0.2333  0.7500  0.7327

---

DFT (PBE) results for a relaxed Zr2Sb3W4C3 crystal.

Summary:
Size of the total moment: 0.0 μB/f.u.
Crystal system: monoclinic

Lattice parameters (Å, degrees): 10.0093 5.8217 13.4975 90.00 102.29 90.00
Space group C2/c (No. 15)
One atom of each set of equivalent atoms:
Zr  0.0507  0.0825  0.4014
Sb  0.0000  0.4466  0.2500
Sb  0.1814  0.1038  0.7465
W  0.1006  0.4044  0.5769
W  0.2331  0.4259  0.9254
C  0.0882  0.2586  0.0011
C  0.2500  0.2500  0.5000

---

DFT (PBE) results for a relaxed InPb5W3 crystal.

Summary:
Size of the total moment: 0.0 μB/f.u.
Crystal system: hexagonal

Lattice parameters (Å, degrees): 5.5989 5.5989 8.8419 90.00 90.00 120.00
Space group P6/mmm (No. 191)
One atom of each set of equivalent atoms:
In  0.0000  0.0000  0.0000
Pb  0.0000  0.0000  0.5000
Pb  0.3333  0.6667  0.2092
W  0.0000  0.5000  0.5000

---

DFT (PBE) results for a relaxed ThNbPb crystal.

Summary:
Size of the total moment: 0.0 μB/f.u.
Energy above the most stable polymorph in this dataset: 0.0 meV per atom
Crystal system: cubic

Lattice parameters (Å, degrees): 6.9763 6.9763 6.9763 90.00 90.00 90.00
Space group F-43m (No. 216)
One atom of each set of equivalent atoms:
Th  0.0000  0.0000  0.0000
Nb  0.2500  0.2500  0.7500
Pb  0.0000  0.0000  0.5000

---

DFT (PBE) results for a relaxed Mo2AsPt crystal.

Summary:
Size of the total moment: 1.5 μB/f.u.
Crystal system: cubic

Lattice parameters (Å, degrees): 6.3467 6.3467 6.3467 90.00 90.00 90.00
Space group F-43m (No. 216)
One atom of each set of equivalent atoms:
Mo  0.0000  0.0000  0.0000
Mo  0.2500  0.2500  0.2500
As  0.0000  0.0000  0.5000
Pt  0.2500  0.2500  0.7500

---

DFT (PBE) results for a relaxed ZrZnCuB crystal.

Summary:
Size of the total moment: 0.0 μB/f.u.
Energy above the most stable polymorph in this dataset: 0.0 meV per atom
Crystal system: cubic

Lattice parameters (Å, degrees): 6.0090 6.0090 6.0090 90.00 90.00 90.00
Space group F-43m (No. 216)
One atom of each set of equivalent atoms:
Zr  0.0000  0.0000  0.0000
Zn  0.2500  0.2500  0.7500
Cu  0.0000  0.0000  0.5000
B  0.2500  0.2500  0.2500

---

DFT (PBE) results for a relaxed MoPb crystal.

Summary:
Size of the total moment: 1.9 μB/f.u.
Energy above the most stable polymorph in this dataset: 472.1 meV per atom
Crystal system: hexagonal

Lattice parameters (Å, degrees): 4.1091 4.1091 6.3754 90.00 90.00 120.00
Space group P6_3/mmc (No. 194)
One atom of each set of equivalent atoms:
Mo  0.3333  0.6667  0.2500
Pb  0.0000  0.0000  0.0000

---

DFT (PBE) results for a relaxed Cu9Ag crystal.

Summary:
Energy of formation: 46 kJ/mol of formula units
Energy above the most stable polymorph in this dataset: 11.7 meV per atom
Crystal system: monoclinic

Lattice parameters (Å, degrees): 4.4848 2.6262 10.6415 90.00 97.56 90.00
Space group P2/m (No. 10)
One atom of each set of equivalent atoms:
Cu  0.0000  0.0000  0.0000
Cu  0.0927  0.5000  0.7943
Cu  0.1983  0.0000  0.5986
Cu  0.3002  0.5000  0.4038
Cu  0.3989  0.0000  0.2104
Ag  0.5000  0.5000  0.0000

---

| no. | electronic total energy (eV per cell) |
| --- | --- |
| 1 | -85.714 |
| 2 | -54.100 |
| 3 | -126.034 |
| 4 | -37.957 |
| 5 | -128.982 |
| 6 | -44.764 |
| 7 | -419.582 |
| 8 | -97.203 |
| 9 | -97.007 |
| 10 | -98.635 |
| 11 | -14.630 |
| 12 | -67.089 |
| 13 | -123.648 |
| 14 | -440.070 |
| 15 | -55.339 |
| 16 | -78.295 |
| 17 | -124.440 |
| 18 | -77.579 |
| 19 | -23.949 |
| 20 | -35.802 |